Computed, not measured: an optimized crystal structure of PrAl2Hg2 at the PBE-GGA level of DFT.

The structure in CIF format:
```
data_PrAl2Hg2
_chemical_formula_sum 'Pr2 Al4 Hg4'
_symmetry_space_group_name_H-M 'P 4/n m m'
_symmetry_Int_Tables_number 129
_cell_length_a 4.4926
_cell_length_b 4.4926
_cell_length_c 11.1884
_cell_angle_alpha 90.00
_cell_angle_beta 90.00
_cell_angle_gamma 90.00
loop_
_symmetry_equiv_pos_as_xyz
'x,y,z'
'-x,-y,-z'
'-y+1/2,x,z'
'y+1/2,-x,-z'
'-x+1/2,-y+1/2,z'
'x+1/2,y+1/2,-z'
'y,-x+1/2,z'
'-y,x+1/2,-z'
'x+1/2,-y,-z'
'-x+1/2,y,z'
'-y,-x,-z'
'y,x,z'
'-x,y+1/2,-z'
'x,-y+1/2,z'
'y+1/2,x+1/2,-z'
'-y+1/2,-x+1/2,z'
loop_
_atom_site_label
_atom_site_type_symbol
_atom_site_fract_x
_atom_site_fract_y
_atom_site_fract_z
Pr1 Pr 0.2500 0.2500 0.2502
Al1 Al 0.2500 0.2500 0.6363
Al2 Al 0.2500 0.7500 0.0000
Hg1 Hg 0.2500 0.2500 0.8650
Hg2 Hg 0.2500 0.7500 0.5000
```

## Properties
- V: 225.8 Å³/cell
- Total magnetization: 0.00 Bohr magnetons per cell
- E_form: -0.34 eV per atom

=====

Computed, not measured: an optimized crystal structure of PrAlHg2 at the PBE-GGA level of DFT.

The structure in CIF format:
```
data_PrAlHg2
_chemical_formula_sum 'Pr2 Al2 Hg4'
_symmetry_space_group_name_H-M 'C m m m'
_symmetry_Int_Tables_number 65
_symmetry_space_group_name_Hall '-C 2 2'
_cell_length_a 5.9663
_cell_length_b 10.0498
_cell_length_c 3.3424
_cell_angle_alpha 90.00
_cell_angle_beta 90.00
_cell_angle_gamma 90.00
loop_
_atom_site_label
_atom_site_type_symbol
_atom_site_fract_x
_atom_site_fract_y
_atom_site_fract_z
Pr1 Pr 0.0000 0.0000 0.0000
Al1 Al 0.0000 0.5000 0.5000
Hg1 Hg 0.2500 0.2500 0.5000
```

## Properties
- V: 200.4 Å³/cell
- Total magnetization: 0.00 Bohr magnetons per cell
- E_form: -0.22 eV per atom

=====

Computed, not measured: an optimized crystal structure of PrAlHg6 at the PBE-GGA level of DFT.

The structure in CIF format:
```
data_PrAlHg6
_chemical_formula_sum 'Pr3 Al3 Hg18'
_symmetry_space_group_name_H-M 'R -3 m'
_symmetry_Int_Tables_number 166
_symmetry_space_group_name_Hall '-R 3 2"'
_cell_length_a 8.5140
_cell_length_b 8.5140
_cell_length_c 10.3943
_cell_angle_alpha 90.00
_cell_angle_beta 90.00
_cell_angle_gamma 120.00
loop_
_atom_site_label
_atom_site_type_symbol
_atom_site_fract_x
_atom_site_fract_y
_atom_site_fract_z
Pr1 Pr 0.0000 0.0000 0.0000
Al1 Al 0.0000 0.0000 0.5000
Hg1 Hg 0.0898 0.5449 0.3708
```

## Properties
- V: 652.5 Å³/cell
- Total magnetization: 0.00 Bohr magnetons per cell
- E_form: -0.02 eV per atom

=====

Computed, not measured: an optimized crystal structure of PrAlHg at the PBE-GGA level of DFT.

The structure in CIF format:
```
data_PrAlHg
_chemical_formula_sum 'Pr2 Al2 Hg2'
_symmetry_space_group_name_H-M 'I 4 m m'
_symmetry_Int_Tables_number 107
_symmetry_space_group_name_Hall 'I 4 -2'
_cell_length_a 3.3443
_cell_length_b 3.3443
_cell_length_c 16.0312
_cell_angle_alpha 90.00
_cell_angle_beta 90.00
_cell_angle_gamma 90.00
loop_
_atom_site_label
_atom_site_type_symbol
_atom_site_fract_x
_atom_site_fract_y
_atom_site_fract_z
Pr1 Pr 0.0000 0.0000 0.0000
Al1 Al 0.0000 0.0000 0.6267
Hg1 Hg 0.0000 0.0000 0.7974
```

## Properties
- V: 179.3 Å³/cell
- Total magnetization: 0.00 Bohr magnetons per cell
- E_form: 0.09 eV per atom

=====

Computed, not measured: an optimized crystal structure of Pr4AlHg at the PBE-GGA level of DFT.

The structure in CIF format:
```
data_Pr4AlHg
_chemical_formula_sum 'Pr4 Al1 Hg1'
_symmetry_space_group_name_H-M 'P 4/m m m'
_symmetry_Int_Tables_number 123
_symmetry_space_group_name_Hall '-P 4 2'
_cell_length_a 5.2393
_cell_length_b 5.2393
_cell_length_c 7.4960
_cell_angle_alpha 90.00
_cell_angle_beta 90.00
_cell_angle_gamma 90.00
loop_
_atom_site_label
_atom_site_type_symbol
_atom_site_fract_x
_atom_site_fract_y
_atom_site_fract_z
Pr1 Pr 0.0000 0.5000 0.2442
Al1 Al 0.0000 0.0000 0.0000
Hg1 Hg 0.5000 0.5000 0.5000
```

## Properties
- V: 205.8 Å³/cell
- Total magnetization: 0.00 Bohr magnetons per cell
- Polymorph energy (0 for the lowest one): 0.000 eV per atom
- E_form: -0.07 eV per atom

=====

Computed, not measured: an optimized crystal structure of Pr3AlHg3 at the PBE-GGA level of DFT.

The structure in CIF format:
```
data_Pr3AlHg3
_chemical_formula_sum 'Pr12 Al4 Hg12'
_symmetry_space_group_name_H-M 'C 1 2/m 1'
_symmetry_Int_Tables_number 12
_cell_length_a 11.5798
_cell_length_b 4.5069
_cell_length_c 15.9153
_cell_angle_alpha 90.00
_cell_angle_beta 109.59
_cell_angle_gamma 90.00
loop_
_symmetry_equiv_pos_as_xyz
'x,y,z'
'-x,-y,-z'
'-x,y,-z'
'x,-y,z'
'x+1/2,y+1/2,z'
'-x+1/2,-y+1/2,-z'
'-x+1/2,y+1/2,-z'
'x+1/2,-y+1/2,z'
loop_
_atom_site_label
_atom_site_type_symbol
_atom_site_fract_x
_atom_site_fract_y
_atom_site_fract_z
Pr1 Pr 0.0253 0.0000 0.3875
Pr2 Pr 0.1009 0.0000 0.9190
Pr3 Pr 0.2451 0.0000 0.2327
Al1 Al 0.2357 0.5000 0.3878
Hg1 Hg 0.0251 0.5000 0.2369
Hg2 Hg 0.1233 0.5000 0.0768
Hg3 Hg 0.1456 0.5000 0.5395
```

## Properties
- V: 782.5 Å³/cell
- Total magnetization: 0.00 Bohr magnetons per cell
- E_form: -0.42 eV per atom

=====

Computed, not measured: an optimized crystal structure of Pr4AlHg3 at the PBE-GGA level of DFT.

The structure in CIF format:
```
data_Pr4AlHg3
_chemical_formula_sum 'Pr4 Al1 Hg3'
_symmetry_space_group_name_H-M 'P 4/m m m'
_symmetry_Int_Tables_number 123
_symmetry_space_group_name_Hall '-P 4 2'
_cell_length_a 3.8117
_cell_length_b 3.8117
_cell_length_c 15.5665
_cell_angle_alpha 90.00
_cell_angle_beta 90.00
_cell_angle_gamma 90.00
loop_
_atom_site_label
_atom_site_type_symbol
_atom_site_fract_x
_atom_site_fract_y
_atom_site_fract_z
Pr1 Pr 0.0000 0.0000 0.1179
Pr2 Pr 0.0000 0.0000 0.3728
Al1 Al 0.5000 0.5000 0.0000
Hg1 Hg 0.5000 0.5000 0.2451
Hg2 Hg 0.5000 0.5000 0.5000
```

## Properties
- V: 226.2 Å³/cell
- Total magnetization: 1.06 Bohr magnetons per cell
- E_form: -0.43 eV per atom

=====

Computed, not measured: an optimized crystal structure of Pr4Al3Hg at the PBE-GGA level of DFT.

The structure in CIF format:
```
data_Pr4Al3Hg
_chemical_formula_sum 'Pr4 Al3 Hg1'
_symmetry_space_group_name_H-M 'P 4/m m m'
_symmetry_Int_Tables_number 123
_symmetry_space_group_name_Hall '-P 4 2'
_cell_length_a 3.7173
_cell_length_b 3.7173
_cell_length_c 15.6987
_cell_angle_alpha 90.00
_cell_angle_beta 90.00
_cell_angle_gamma 90.00
loop_
_atom_site_label
_atom_site_type_symbol
_atom_site_fract_x
_atom_site_fract_y
_atom_site_fract_z
Pr1 Pr 0.0000 0.0000 0.1215
Pr2 Pr 0.0000 0.0000 0.3661
Al1 Al 0.5000 0.5000 0.0000
Al2 Al 0.5000 0.5000 0.2458
Hg1 Hg 0.5000 0.5000 0.5000
```

## Properties
- V: 216.9 Å³/cell
- Total magnetization: 0.00 Bohr magnetons per cell
- Polymorph energy (0 for the lowest one): 0.000 eV per atom
- E_form: -0.37 eV per atom